Material: TaCr3Cu2S8
Method: DFT, PBE
State: optimized geometry

Values from the calculation:
The energy above the most stable polymorph in this dataset comes out at 228 kJ/mol of formula units. Its energy relative to the elements, uncorrected is -0.54 eV per atom. The value obtained for the calculated volume is 17.5 Å³ per atom. The calculation puts the total magnetization at 0.62 μB per atom.

Structure (CIF):
```
data_TaCr3Cu2S8
_chemical_formula_sum 'Ta2 Cr6 Cu4 S16'
_space_group_name_H-M_alt 'P m c 21'
_space_group_IT_number 26
_space_group_name_Hall 'P 2c -2'
_cell_length_a 3.448
_cell_length_b 13.038
_cell_length_c 10.888
_cell_angle_alpha 90.00
_cell_angle_beta 90.00
_cell_angle_gamma 90.00
loop_
_atom_site_label
_atom_site_type_symbol
_atom_site_fract_x
_atom_site_fract_y
_atom_site_fract_z
_atom_site_occupancy
Ta1 Ta 0.000 0.122 0.000 1
Cr1 Cr 0.000 0.403 0.552 1
Cr2 Cr 0.500 0.177 0.649 1
Cr3 Cr 0.500 0.316 0.192 1
Cu1 Cu 0.000 0.475 0.798 1
Cu2 Cu 0.500 0.151 0.377 1
S1 S 0.000 0.117 0.782 1
S2 S 0.000 0.177 0.225 1
S3 S 0.000 0.227 0.512 1
S4 S 0.000 0.424 0.124 1
S5 S 0.500 0.012 0.526 1
S6 S 0.500 0.256 0.986 1
S7 S 0.500 0.356 0.702 1
S8 S 0.500 0.421 0.393 1
```